8
Lattice="4.156 -3.815 0.000 4.156 3.815 0.000 -3.597 0.000 4.765" Properties=species:S:1:pos:R:3 comment="Rb2FeSbO4, optimized geometry, DFT GGA+U" vol_a3_per_fu=151 sg=C2 final_energy_ev_per_atom=-5.373 n_ef_per_ev_atom=0.000 pbc="T T T"
Rb 0.000 0.000 0.000
Rb 2.358 -1.829 2.383
Fe 4.156 -0.191 0.000
Sb 2.358 2.092 2.383
O 1.001 0.801 3.117
O -0.854 -1.372 4.353
O 3.715 0.801 1.648
O 5.569 -1.372 0.412